(1)
# UZnNiRu, relaxed, DFT GGA-PBE
# **DOS at the Fermi energy**: 5.17 states/eV/f.u.
# **ΔH_f (0 K)**: -0.11 eV per atom
# **Spin magnetization**: 6.46 μB per cell
data_UZnNiRu
_chemical_formula_sum 'U4 Zn4 Ni4 Ru4'
_cell_length_a 6.381
_cell_length_b 6.381
_cell_length_c 6.381
_cell_angle_alpha 90.00
_cell_angle_beta 90.00
_cell_angle_gamma 90.00
_space_group_name_H-M_alt 'F -4 3 m'
_space_group_IT_number 216
_space_group_name_Hall 'F -4 2 3'
loop_
_atom_site_label
_atom_site_fract_x
_atom_site_fract_y
_atom_site_fract_z
U1 0.000 0.000 0.000
Zn1 0.000 0.000 0.500
Ni1 0.250 0.250 0.750
Ru1 0.250 0.250 0.250

(2)
# V2Ni2Ru3, relaxed, DFT GGA-PBE
# **DOS at the Fermi energy**: 7.97 states/eV/f.u.
# **ΔH_f (0 K)**: -0.09 eV per atom
# **Spin magnetization**: 0.00 μB per cell
data_V2Ni2Ru3
_chemical_formula_sum 'V4 Ni4 Ru6'
_cell_length_a 8.817
_cell_length_b 2.689
_cell_length_c 7.689
_cell_angle_alpha 90.00
_cell_angle_beta 94.16
_cell_angle_gamma 90.00
_space_group_name_H-M_alt 'C 1 2/m 1'
_space_group_IT_number 12
_space_group_name_Hall '-C 2y'
loop_
_atom_site_label
_atom_site_fract_x
_atom_site_fract_y
_atom_site_fract_z
V1 0.065 0.000 0.298
Ni1 0.144 0.500 0.564
Ru1 0.000 0.500 0.000
Ru2 0.220 0.000 0.855

(3)
# V3NiRu2, relaxed, DFT GGA-PBE
# **DOS at the Fermi energy**: 5.93 states/eV/f.u.
# **ΔH_f (0 K)**: -0.19 eV per atom
# **Spin magnetization**: 0.00 μB per cell
data_V3NiRu2
_chemical_formula_sum 'V12 Ni4 Ru8'
_cell_length_a 4.175
_cell_length_b 12.750
_cell_length_c 5.957
_cell_angle_alpha 90.00
_cell_angle_beta 90.00
_cell_angle_gamma 90.00
_space_group_name_H-M_alt 'C m m m'
_space_group_IT_number 65
_space_group_name_Hall '-C 2 2'
loop_
_atom_site_label
_atom_site_fract_x
_atom_site_fract_y
_atom_site_fract_z
V1 0.000 0.000 0.239
V2 0.000 0.322 0.271
Ni1 0.000 0.141 0.500
Ru1 0.000 0.167 0.000
Ru2 0.000 0.500 0.000
Ru3 0.000 0.500 0.500

(4)
# VNiRu, relaxed, DFT GGA-PBE
# **DOS at the Fermi energy**: 3.30 states/eV/f.u.
# **ΔH_f (0 K)**: 0.42 eV per atom
# **Spin magnetization**: 0.00 μB per cell
data_VNiRu
_chemical_formula_sum 'V1 Ni1 Ru1'
_cell_length_a 3.075
_cell_length_b 3.707
_cell_length_c 3.854
_cell_angle_alpha 90.00
_cell_angle_beta 90.00
_cell_angle_gamma 90.00
_space_group_name_H-M_alt 'P m m m'
_space_group_IT_number 47
_space_group_name_Hall '-P 2 2'
loop_
_atom_site_label
_atom_site_fract_x
_atom_site_fract_y
_atom_site_fract_z
V1 0.000 0.000 0.000
Ni1 0.500 0.500 0.000
Ru1 0.500 0.000 0.500

(5)
# V6Ni12Ru, relaxed, DFT GGA-PBE
# **DOS at the Fermi energy**: 22.48 states/eV/f.u.
# **ΔH_f (0 K)**: 0.25 eV per atom
# **Spin magnetization**: 3.63 μB per cell
data_V6Ni12Ru
_chemical_formula_sum 'V18 Ni36 Ru3'
_cell_length_a 10.8497
_cell_length_b 10.8497
_cell_length_c 7.2352
_cell_angle_alpha 90.00
_cell_angle_beta 90.00
_cell_angle_gamma 120.00
_space_group_name_H-M_alt 'R -3 m'
_space_group_IT_number 166
_space_group_name_Hall '-R 3 2"'
loop_
_atom_site_label
_atom_site_fract_x
_atom_site_fract_y
_atom_site_fract_z
V1 0.0472 0.5236 0.2138
Ni1 0.0000 0.3889 0.5000
Ni2 0.0749 0.1498 0.2838
Ru1 0.0000 0.0000 0.0000

(6)
# VNiRu, relaxed, DFT GGA-PBE
# **DOS at the Fermi energy**: 1.94 states/eV/f.u.
# **ΔH_f (0 K)**: -0.12 eV per atom
# **Spin magnetization**: 0.00 μB per cell
data_VNiRu
_chemical_formula_sum 'V1 Ni1 Ru1'
_cell_length_a 4.1605
_cell_length_b 4.1605
_cell_length_c 2.5595
_cell_angle_alpha 90.00
_cell_angle_beta 90.00
_cell_angle_gamma 120.00
_space_group_name_H-M_alt 'P 3 m 1'
_space_group_IT_number 156
_space_group_name_Hall 'P 3 -2"'
loop_
_atom_site_label
_atom_site_fract_x
_atom_site_fract_y
_atom_site_fract_z
V1 0.0000 0.0000 0.0000
Ni1 0.3333 0.6667 0.7949
Ru1 0.6667 0.3333 0.3283

(7)
# V2Ni6Ru, relaxed, DFT GGA-PBE
# **DOS at the Fermi energy**: 12.37 states/eV/f.u.
# **ΔH_f (0 K)**: -0.17 eV per atom
# **Spin magnetization**: 0.00 μB per cell
data_V2Ni6Ru
_chemical_formula_sum 'V4 Ni12 Ru2'
_cell_length_a 8.179
_cell_length_b 3.555
_cell_length_c 7.658
_cell_angle_alpha 90.00
_cell_angle_beta 110.19
_cell_angle_gamma 90.00
_space_group_name_H-M_alt 'C 1 2/m 1'
_space_group_IT_number 12
_space_group_name_Hall '-C 2y'
loop_
_atom_site_label
_atom_site_fract_x
_atom_site_fract_y
_atom_site_fract_z
V1 0.170 0.000 0.229
Ni1 0.001 0.500 0.664
Ni2 0.166 0.000 0.554
Ni3 0.167 0.000 0.890
Ru1 0.000 0.500 0.000

(8)
# V3Ni4Ru, relaxed, DFT GGA-PBE
# **DOS at the Fermi energy**: 9.23 states/eV/f.u.
# **ΔH_f (0 K)**: -0.15 eV per atom
# **Spin magnetization**: 0.00 μB per cell
data_V3Ni4Ru
_chemical_formula_sum 'V6 Ni8 Ru2'
_cell_length_a 7.269
_cell_length_b 5.143
_cell_length_c 5.187
_cell_angle_alpha 90.00
_cell_angle_beta 90.00
_cell_angle_gamma 90.00
_space_group_name_H-M_alt 'P m n a'
_space_group_IT_number 53
_space_group_name_Hall '-P 2ac 2'
loop_
_atom_site_label
_atom_site_fract_x
_atom_site_fract_y
_atom_site_fract_z
V1 0.000 0.000 0.000
V2 0.250 0.257 0.250
Ni1 0.000 0.000 0.500
Ni2 0.000 0.500 0.500
Ni3 0.250 0.237 0.750
Ru1 0.000 0.500 0.000

(9)
# V4NiRu5, relaxed, DFT GGA-PBE
# **DOS at the Fermi energy**: 10.11 states/eV/f.u.
# **ΔH_f (0 K)**: -0.20 eV per atom
# **Spin magnetization**: 0.00 μB per cell
data_V4NiRu5
_chemical_formula_sum 'V4 Ni1 Ru5'
_cell_length_a 3.035
_cell_length_b 3.035
_cell_length_c 14.606
_cell_angle_alpha 90.00
_cell_angle_beta 90.00
_cell_angle_gamma 90.00
_space_group_name_H-M_alt 'P 4/m m m'
_space_group_IT_number 123
_space_group_name_Hall '-P 4 2'
loop_
_atom_site_label
_atom_site_fract_x
_atom_site_fract_y
_atom_site_fract_z
V1 0.000 0.000 0.105
V2 0.000 0.000 0.315
Ni1 0.000 0.000 0.500
Ru1 0.500 0.500 0.000
Ru2 0.500 0.500 0.204
Ru3 0.500 0.500 0.402

(10)
# V4NiRu2, relaxed, DFT GGA-PBE
# **DOS at the Fermi energy**: 9.44 states/eV/f.u.
# **ΔH_f (0 K)**: 0.71 eV per atom
# **Spin magnetization**: 0.00 μB per cell
data_V4NiRu2
_chemical_formula_sum 'V8 Ni2 Ru4'
_cell_length_a 4.247
_cell_length_b 4.247
_cell_length_c 12.285
_cell_angle_alpha 90.00
_cell_angle_beta 90.00
_cell_angle_gamma 90.00
_space_group_name_H-M_alt 'I 4/m m m'
_space_group_IT_number 139
_space_group_name_Hall '-I 4 2'
loop_
_atom_site_label
_atom_site_fract_x
_atom_site_fract_y
_atom_site_fract_z
V1 0.000 0.000 0.194
V2 0.000 0.500 0.000
Ni1 0.000 0.000 0.000
Ru1 0.000 0.000 0.377

(11)
# V2Ni2Ru, relaxed, DFT GGA-PBE
# **DOS at the Fermi energy**: 7.66 states/eV/f.u.
# **ΔH_f (0 K)**: 0.00 eV per atom
# **Spin magnetization**: 0.00 μB per cell
data_V2Ni2Ru
_chemical_formula_sum 'V8 Ni8 Ru4'
_cell_length_a 11.546
_cell_length_b 4.532
_cell_length_c 4.886
_cell_angle_alpha 90.00
_cell_angle_beta 99.23
_cell_angle_gamma 90.00
_space_group_name_H-M_alt 'C 1 2/c 1'
_space_group_IT_number 15
_space_group_name_Hall '-C 2yc'
loop_
_atom_site_label
_atom_site_fract_x
_atom_site_fract_y
_atom_site_fract_z
V1 0.200 0.023 0.067
Ni1 0.100 0.435 0.664
Ru1 0.000 0.094 0.250

(12)
# V2Ni3Ru3, relaxed, DFT GGA-PBE
# **DOS at the Fermi energy**: 13.99 states/eV/f.u.
# **ΔH_f (0 K)**: 0.02 eV per atom
# **Spin magnetization**: 2.31 μB per cell
data_V2Ni3Ru3
_chemical_formula_sum 'V6 Ni9 Ru9'
_cell_length_a 6.5655
_cell_length_b 6.5655
_cell_length_c 8.3141
_cell_angle_alpha 90.00
_cell_angle_beta 90.00
_cell_angle_gamma 120.00
_space_group_name_H-M_alt 'R 3 2'
_space_group_IT_number 155
_space_group_name_Hall 'R 3 2"'
loop_
_atom_site_label
_atom_site_fract_x
_atom_site_fract_y
_atom_site_fract_z
V1 0.0000 0.0000 0.2472
Ni1 0.0000 0.2293 0.5000
Ru1 0.0000 0.7423 0.0000

(13)
# V2Ni2Ru, relaxed, DFT GGA-PBE
# **DOS at the Fermi energy**: 5.02 states/eV/f.u.
# **ΔH_f (0 K)**: -0.09 eV per atom
# **Spin magnetization**: 0.00 μB per cell
data_V2Ni2Ru
_chemical_formula_sum 'V4 Ni4 Ru2'
_cell_length_a 6.597
_cell_length_b 6.597
_cell_length_c 2.890
_cell_angle_alpha 90.00
_cell_angle_beta 90.00
_cell_angle_gamma 90.00
_space_group_name_H-M_alt 'P 4/m b m'
_space_group_IT_number 127
_space_group_name_Hall '-P 4 2ab'
loop_
_atom_site_label
_atom_site_fract_x
_atom_site_fract_y
_atom_site_fract_z
V1 0.178 0.322 0.000
Ni1 0.124 0.624 0.500
Ru1 0.000 0.000 0.500

(14)
# VNiRu3, relaxed, DFT GGA-PBE
# **DOS at the Fermi energy**: 4.68 states/eV/f.u.
# **ΔH_f (0 K)**: -0.03 eV per atom
# **Spin magnetization**: 0.00 μB per cell
data_VNiRu3
_chemical_formula_sum 'V4 Ni4 Ru12'
_cell_length_a 12.248
_cell_length_b 4.210
_cell_length_c 5.314
_cell_angle_alpha 90.00
_cell_angle_beta 102.45
_cell_angle_gamma 90.00
_space_group_name_H-M_alt 'C 1 m 1'
_space_group_IT_number 8
_space_group_name_Hall 'C -2y'
loop_
_atom_site_label
_atom_site_fract_x
_atom_site_fract_y
_atom_site_fract_z
V1 0.000 0.000 0.000
V2 0.197 0.000 0.604
Ni1 0.311 0.500 0.661
Ni2 0.313 0.500 0.161
Ru1 0.000 0.000 0.507
Ru2 0.104 0.500 0.306
Ru3 0.108 0.500 0.811
Ru4 0.199 0.000 0.107
Ru5 0.391 0.000 0.452
Ru6 0.392 0.000 0.954

(15)
# V2Ni6Ru, relaxed, DFT GGA-PBE
# **DOS at the Fermi energy**: 10.46 states/eV/f.u.
# **ΔH_f (0 K)**: -0.16 eV per atom
# **Spin magnetization**: 0.00 μB per cell
data_V2Ni6Ru
_chemical_formula_sum 'V4 Ni12 Ru2'
_cell_length_a 10.912
_cell_length_b 3.565
_cell_length_c 5.690
_cell_angle_alpha 90.00
_cell_angle_beta 108.61
_cell_angle_gamma 90.00
_space_group_name_H-M_alt 'C 1 2/m 1'
_space_group_IT_number 12
_space_group_name_Hall '-C 2y'
loop_
_atom_site_label
_atom_site_fract_x
_atom_site_fract_y
_atom_site_fract_z
V1 0.061 0.000 0.325
Ni1 0.109 0.500 0.661
Ni2 0.170 0.000 0.002
Ni3 0.225 0.500 0.337
Ru1 0.000 0.500 0.000

(16)
# V4Ni12Ru, relaxed, DFT GGA-PBE
# **DOS at the Fermi energy**: 24.78 states/eV/f.u.
# **ΔH_f (0 K)**: 0.14 eV per atom
# **Spin magnetization**: 15.43 μB per cell
data_V4Ni12Ru
_chemical_formula_sum 'V8 Ni24 Ru2'
_cell_length_a 7.461
_cell_length_b 7.461
_cell_length_c 7.461
_cell_angle_alpha 90.00
_cell_angle_beta 90.00
_cell_angle_gamma 90.00
_space_group_name_H-M_alt 'I m -3 m'
_space_group_IT_number 229
_space_group_name_Hall '-I 4 2 3'
loop_
_atom_site_label
_atom_site_fract_x
_atom_site_fract_y
_atom_site_fract_z
V1 0.250 0.250 0.250
Ni1 0.000 0.000 0.308
Ni2 0.000 0.250 0.500
Ru1 0.000 0.000 0.000

(17)
# V2Ni4Ru, relaxed, DFT GGA-PBE
# **DOS at the Fermi energy**: 5.44 states/eV/f.u.
# **ΔH_f (0 K)**: 0.01 eV per atom
# **Spin magnetization**: 0.00 μB per cell
data_V2Ni4Ru
_chemical_formula_sum 'V4 Ni8 Ru2'
_cell_length_a 6.888
_cell_length_b 7.517
_cell_length_c 3.440
_cell_angle_alpha 90.00
_cell_angle_beta 90.00
_cell_angle_gamma 90.00
_space_group_name_H-M_alt 'C m m m'
_space_group_IT_number 65
_space_group_name_Hall '-C 2 2'
loop_
_atom_site_label
_atom_site_fract_x
_atom_site_fract_y
_atom_site_fract_z
V1 0.224 0.000 0.000
Ni1 0.000 0.245 0.000
Ni2 0.250 0.250 0.500
Ru1 0.000 0.500 0.500

(18)
# V2Ni2Ru, relaxed, DFT GGA-PBE
# **DOS at the Fermi energy**: 4.25 states/eV/f.u.
# **ΔH_f (0 K)**: -0.17 eV per atom
# **Spin magnetization**: 0.00 μB per cell
data_V2Ni2Ru
_chemical_formula_sum 'V2 Ni2 Ru1'
_cell_length_a 2.615
_cell_length_b 4.365
_cell_length_c 6.008
_cell_angle_alpha 98.35
_cell_angle_beta 102.54
_cell_angle_gamma 107.31
_space_group_name_H-M_alt 'P -1'
_space_group_IT_number 2
_space_group_name_Hall '-P 1'
loop_
_atom_site_label
_atom_site_fract_x
_atom_site_fract_y
_atom_site_fract_z
V1 0.093 0.408 0.278
Ni1 0.296 0.193 0.900
Ru1 0.500 0.000 0.500

(19)
# V2Ni5Ru, relaxed, DFT GGA-PBE
# **DOS at the Fermi energy**: 3.98 states/eV/f.u.
# **ΔH_f (0 K)**: -0.21 eV per atom
# **Spin magnetization**: 0.01 μB per cell
data_V2Ni5Ru
_chemical_formula_sum 'V4 Ni10 Ru2'
_cell_length_a 5.144
_cell_length_b 10.248
_cell_length_c 3.549
_cell_angle_alpha 90.00
_cell_angle_beta 90.00
_cell_angle_gamma 90.00
_space_group_name_H-M_alt 'P b a m'
_space_group_IT_number 55
_space_group_name_Hall '-P 2 2ab'
loop_
_atom_site_label
_atom_site_fract_x
_atom_site_fract_y
_atom_site_fract_z
V1 0.242 0.124 0.000
Ni1 0.000 0.500 0.500
Ni2 0.020 0.748 0.500
Ni3 0.234 0.370 0.000
Ru1 0.000 0.000 0.500

(20)
# VNiRu3, relaxed, DFT GGA-PBE
# **DOS at the Fermi energy**: 6.69 states/eV/f.u.
# **ΔH_f (0 K)**: 1.33 eV per atom
# **Spin magnetization**: 2.97 μB per cell
data_VNiRu3
_chemical_formula_sum 'V1 Ni1 Ru3'
_cell_length_a 4.409
_cell_length_b 4.409
_cell_length_c 4.409
_cell_angle_alpha 90.00
_cell_angle_beta 90.00
_cell_angle_gamma 90.00
_space_group_name_H-M_alt 'P m -3 m'
_space_group_IT_number 221
_space_group_name_Hall '-P 4 2 3'
loop_
_atom_site_label
_atom_site_fract_x
_atom_site_fract_y
_atom_site_fract_z
V1 0.000 0.000 0.000
Ni1 0.500 0.500 0.500
Ru1 0.000 0.000 0.500

(21)
# V6Ni8Ru, relaxed, DFT GGA-PBE
# **DOS at the Fermi energy**: 17.87 states/eV/f.u.
# **ΔH_f (0 K)**: 0.19 eV per atom
# **Spin magnetization**: 0.00 μB per cell
data_V6Ni8Ru
_chemical_formula_sum 'V6 Ni8 Ru1'
_cell_length_a 9.2814
_cell_length_b 9.2814
_cell_length_c 2.5459
_cell_angle_alpha 90.00
_cell_angle_beta 90.00
_cell_angle_gamma 120.00
_space_group_name_H-M_alt 'P -3'
_space_group_IT_number 147
_space_group_name_Hall '-P 3'
loop_
_atom_site_label
_atom_site_fract_x
_atom_site_fract_y
_atom_site_fract_z
V1 0.1012 0.6351 0.3869
Ni1 0.0925 0.2962 0.0061
Ni2 0.3333 0.6667 0.8946
Ru1 0.0000 0.0000 0.5000

(22)
# V6NiRu5, relaxed, DFT GGA-PBE
# **DOS at the Fermi energy**: 16.48 states/eV/f.u.
# **ΔH_f (0 K)**: -0.20 eV per atom
# **Spin magnetization**: 1.31 μB per cell
data_V6NiRu5
_chemical_formula_sum 'V12 Ni2 Ru10'
_cell_length_a 4.285
_cell_length_b 5.812
_cell_length_c 12.983
_cell_angle_alpha 90.00
_cell_angle_beta 90.00
_cell_angle_gamma 90.00
_space_group_name_H-M_alt 'I m m m'
_space_group_IT_number 71
_space_group_name_Hall '-I 2 2'
loop_
_atom_site_label
_atom_site_fract_x
_atom_site_fract_y
_atom_site_fract_z
V1 0.000 0.235 0.000
V2 0.000 0.257 0.337
Ni1 0.000 0.500 0.500
Ru1 0.000 0.000 0.175
Ru2 0.000 0.000 0.500
Ru3 0.000 0.500 0.166

(23)
# VNiRu, relaxed, DFT GGA-PBE
# **DOS at the Fermi energy**: 4.45 states/eV/f.u.
# **ΔH_f (0 K)**: 0.60 eV per atom
# **Spin magnetization**: 0.00 μB per cell
data_VNiRu
_chemical_formula_sum 'V2 Ni2 Ru2'
_cell_length_a 2.609
_cell_length_b 2.609
_cell_length_c 13.011
_cell_angle_alpha 90.00
_cell_angle_beta 90.00
_cell_angle_gamma 90.00
_space_group_name_H-M_alt 'I 4 m m'
_space_group_IT_number 107
_space_group_name_Hall 'I 4 -2'
loop_
_atom_site_label
_atom_site_fract_x
_atom_site_fract_y
_atom_site_fract_z
V1 0.000 0.000 0.000
Ni1 0.000 0.000 0.171
Ru1 0.000 0.000 0.365

Uncorrected energy per entry: -7.016 -8.320 -8.810 -7.643 -6.766 -8.177 -7.085 -7.616 -9.064 -7.981 -7.815 -7.910 -7.901 -8.578 -7.071 -6.631 -7.227 -7.981 -7.267 -7.212 -7.160 -9.105 -7.460 eV per atom